No. 1
Ce6CBr3N2 | PBE-GGA | optimized geometry

Unit cell a=6.3304 b=10.9647 c=7.7504 alpha=90.00 beta=105.80 gamma=90.00
Closest atoms and distances in Å follow each position.
Space group C2/m (No. 12)
Unique sites:
Ce 0.2244 0.0000 0.1824 (multiplicity 4)  2 N 2.50, 1 C 2.53
Ce 0.2291 0.3318 0.1828 (multiplicity 8)  2 N 2.50, 1 C 2.53
C 0.0000 0.5000 0.0000 (multiplicity 2)  6 Ce 2.53
Br 0.0000 0.0000 0.5000 (multiplicity 2)  6 Ce 3.16-3.18
Br 0.0000 0.3349 0.5000 (multiplicity 4)  6 Ce 3.17-3.18
N 0.0000 0.1669 0.0000 (multiplicity 4)  6 Ce 2.50

Uncorrected formation energy in eV/f.u.: -14.50
Size of the total moment in μB/f.u.: 4.74
V in Å³/cell: 517.6

---

No. 2
Ce8CBr4N3 | PBE-GGA | optimized geometry

Unit cell a=12.6314 b=7.3007 c=8.5592 alpha=90.00 beta=119.45 gamma=90.00
Closest atoms and distances in Å follow each position.
Space group C2/m (No. 12)
Unique sites:
Ce 0.0234 0.2473 0.3173 (multiplicity 8)  2 N 2.50, 1 C 2.53
Ce 0.2272 0.0000 0.6817 (multiplicity 4)  3 N 2.50
Ce 0.2293 0.5000 0.6827 (multiplicity 4)  2 N 2.50, 1 C 2.53
C 0.0000 0.5000 0.5000 (multiplicity 2)  6 Ce 2.53
Br 0.0000 0.0000 0.0000 (multiplicity 2)  6 Ce 3.15
Br 0.0000 0.5000 0.0000 (multiplicity 2)  6 Ce 3.17
Br 0.2500 0.2500 0.0000 (multiplicity 4)  6 Ce 3.17
N 0.0000 0.0000 0.5000 (multiplicity 2)  6 Ce 2.50
N 0.2500 0.2500 0.5000 (multiplicity 4)  6 Ce 2.50

Uncorrected formation energy in eV/f.u.: -20.05
Size of the total moment in μB/f.u.: 6.37
V in Å³/cell: 687.3

---

No. 3
CeNdCBr | PBE-GGA | optimized geometry

Unit cell a=3.7577 b=3.7577 c=22.5013 alpha=90.00 beta=90.00 gamma=120.00
Closest atoms and distances in Å follow each position.
Space group R3m (No. 160, hexagonal axes)
Unique sites:
Ce 0.0000 0.0000 0.0000 (multiplicity 3)  3 C 2.50
Nd 0.0000 0.0000 0.7884 (multiplicity 3)  3 C 2.63
C 0.0000 0.0000 0.3888 (multiplicity 3)  3 Ce 2.50, 3 Nd 2.63
Br 0.0000 0.0000 0.5598 (multiplicity 3)  3 Nd 3.20, 3 Ce 3.24

Uncorrected formation energy in eV/f.u.: -3.41
Size of the total moment in μB/f.u.: 0.51
V in Å³/cell: 275.2

---

No. 4
CeC2BrO6 | PBE-GGA | optimized geometry

Unit cell a=9.9338 b=8.1977 c=8.2771 alpha=90.00 beta=122.01 gamma=90.00
Closest atoms and distances in Å follow each position.
Space group C2/c (No. 15)
Unique sites:
Ce 0.0000 0.0457 0.2500 (multiplicity 4)  6 O 2.27-2.47
C 0.2451 0.3604 0.2551 (multiplicity 8)  3 O 1.27-1.31
Br 0.0000 0.3610 0.7500 (multiplicity 4)  2 O 2.64
O 0.1329 0.0823 0.5866 (multiplicity 8)  1 C 1.31
O 0.1484 0.2585 0.2547 (multiplicity 8)  1 C 1.27
O 0.2365 0.4142 0.1030 (multiplicity 8)  1 C 1.29

Uncorrected formation energy in eV/f.u.: -16.84
Size of the total moment in μB/f.u.: 1.16
V in Å³/cell: 571.6

---

No. 5
Ce8C3Br3O | PBE-GGA | optimized geometry

Unit cell a=7.2807 b=7.2807 c=22.5244 alpha=90.00 beta=90.00 gamma=120.00
Closest atoms and distances in Å follow each position.
Space group R-3m (No. 166, hexagonal axes)
Unique sites:
Ce 0.0000 0.0000 0.2289 (multiplicity 6)  3 C 2.53
Ce 0.0018 0.5009 0.7717 (multiplicity 18)  2 C 2.51, 1 O 2.53
C 0.0000 0.5000 0.5000 (multiplicity 9)  6 Ce 2.51-2.53
Br 0.0000 0.5000 0.0000 (multiplicity 9)  6 Ce 3.15-3.17
O 0.0000 0.0000 0.5000 (multiplicity 3)  6 Ce 2.53

Uncorrected formation energy in eV/f.u.: -14.63
Size of the total moment in μB/f.u.: 7.43
V in Å³/cell: 1034.1

---

No. 6
Ce8C3Br4O | PBE-GGA | optimized geometry

Unit cell a=7.3750 b=7.3750 c=22.3521 alpha=90.00 beta=90.00 gamma=120.00
Closest atoms and distances in Å follow each position.
Space group R-3m (No. 166, hexagonal axes)
Unique sites:
Ce 0.0000 0.0000 0.2283 (multiplicity 6)  3 C 2.54
Ce 0.0009 0.5004 0.2280 (multiplicity 18)  1 O 2.53, 2 C 2.53
C 0.0000 0.5000 0.5000 (multiplicity 9)  6 Ce 2.53-2.54
Br 0.0000 0.0000 0.0000 (multiplicity 3)  6 Ce 3.18
Br 0.0000 0.5000 0.0000 (multiplicity 9)  6 Ce 3.17
O 0.0000 0.0000 0.5000 (multiplicity 3)  6 Ce 2.53

Uncorrected formation energy in eV/f.u.: -18.04
Size of the total moment in μB/f.u.: 6.08
V in Å³/cell: 1052.8